Here is a relaxed VSiPt2 crystal from Alexandria. Energies are from PBE.

Properties
* formation energy without anion corrections: 0.00 eV/atom

Unit cell a=5.372 b=5.372 c=11.459 alpha=90.00 beta=90.00 gamma=90.00
Space group I-42d (No. 122)
Asymmetric unit:
V 0.000 0.000 0.000 x4
Si 0.000 0.000 0.500 x4
Pt 0.234 0.250 0.625 x8

=====

Here is a relaxed CdTcAs crystal from Alexandria. Energies are from PBE.

Properties
* ΔE_f: 0.013 eV per atom
* excess energy over the best structure of this formula in the dataset: 0.0480 eV/atom

Unit cell a=3.232 b=3.232 c=10.084 alpha=90.00 beta=90.00 gamma=90.00
Space group I4mm (No. 107)
Asymmetric unit:
Cd 0.000 0.000 0.000 x2
Tc 0.000 0.000 0.692 x2
As 0.000 0.000 0.298 x2

=====

Here is a relaxed CsHg3Au crystal from Alexandria. Energies are from PBE.

Properties
* ΔE_f: -0.091 eV per atom
* excess energy over the best structure of this formula in the dataset: 0.1330 eV/atom

Unit cell a=8.125 b=14.394 c=6.256 alpha=90.00 beta=90.00 gamma=90.00
Space group Cmcm (No. 63)
Asymmetric unit:
Cs 0.000 0.090 0.250 x4
Hg 0.000 0.500 0.000 x4
Hg 0.174 0.216 0.750 x8
Au 0.000 0.336 0.250 x4

=====

Here is a relaxed BaSrCdAu crystal from Alexandria. Energies are from PBE.

Properties
* ΔE_f: -0.511 eV per atom

Unit cell a=4.933 b=4.591 c=12.510 alpha=90.00 beta=90.00 gamma=90.00
Space group Amm2 (No. 38)
Asymmetric unit:
Ba 0.000 0.000 0.000 x2
Sr 0.500 0.000 0.280 x2
Cd 0.000 0.000 0.714 x2
Au 0.500 0.000 0.576 x2

=====

Here is a relaxed PuHfPd6 crystal from Alexandria. Energies are from PBE.

Properties
* ΔE_f: -0.718 eV per atom

Unit cell a=4.076 b=4.076 c=8.199 alpha=90.00 beta=90.00 gamma=90.00
Space group P4/mmm (No. 123)
Asymmetric unit:
Pu 0.000 0.000 0.000 x1
Hf 0.000 0.000 0.500 x1
Pd 0.000 0.500 0.263 x4
Pd 0.500 0.500 0.000 x1
Pd 0.500 0.500 0.500 x1

=====

Here is a relaxed Ac4P2SeO2 crystal from Alexandria. Energies are from PBE.

Properties
* formation energy without anion corrections: -2.19 eV/atom

Unit cell a=16.194 b=4.135 c=8.049 alpha=90.00 beta=116.59 gamma=90.00
Space group C2/m (No. 12)
Asymmetric unit:
Ac 0.018 0.000 0.228 x4
Ac 0.228 0.500 0.687 x4
P 0.123 0.500 0.053 x4
Se 0.000 0.500 0.500 x2
O 0.177 0.000 0.484 x4

=====

Here is a relaxed Li2CaPd2 crystal from Alexandria. Energies are from PBE.

Properties
* ΔE_f: -0.368 eV per atom
* excess energy over the best structure of this formula in the dataset: 0.0822 eV/atom

Unit cell a=5.414 b=9.912 c=7.500 alpha=90.00 beta=110.75 gamma=90.00
Space group C2/c (No. 15)
Asymmetric unit:
Li 0.104 0.125 0.458 x8
Ca 0.000 0.375 0.750 x4
Pd 0.000 0.083 0.750 x4
Pd 0.000 0.334 0.250 x4

=====

Here is a relaxed Ca5RuO6 crystal from Alexandria. Energies are from PBE.

Properties
* formation energy without anion corrections: -2.46 eV/atom

Unit cell a=5.793 b=10.026 c=5.771 alpha=90.00 beta=109.47 gamma=90.00
Space group C2/m (No. 12)
Asymmetric unit:
Ca 0.000 0.000 0.000 x2
Ca 0.000 0.167 0.500 x4
Ca 0.000 0.337 0.000 x4
Ru 0.000 0.500 0.500 x2
O 0.243 0.500 0.256 x4
O 0.244 0.338 0.746 x8

=====

no.,VASP energy (eV/atom)
1,-6.651
2,-5.297
3,-1.098
4,-2.460
5,-7.648
6,-6.705
7,-3.611
8,-6.545